Below is Ti4ZnRe after structural relaxation, with properties calculated at the PBE level.

a = 3.156 Å, b = 5.435 Å, c = 6.929 Å
α = 113.32°, β = 76.83°, γ = 73.12°
Positions (direct):
Ti: 0.839 0.504 0.817
Ti: 0.323 0.016 0.337
Ti: 0.161 0.496 0.183
Ti: 0.677 0.984 0.663
Zn: 0.000 0.000 0.000
Re: 0.500 0.500 0.500

Magnetic moment: 0.0 μB per formula unit
Uncorrected energy: -7.777 eV per atom
Energy relative to the elements: -0.227 eV/atom
E above lowest polymorph: 0 meV per atom